Below is crystalline Cs2LiCuCl5 at its relaxed geometry, with properties calculated at the PBE level.

```
Cs2LiCuCl5
1.0
4.212 0.000 0.000
-2.106 10.180 0.000
0.000 0.000 14.093
Cl Li Cs Cu
10 2 4 2
Direct
0.703 0.406 0.150
0.316 0.633 0.395
0.334 0.668 0.015
0.501 0.003 0.298
0.297 0.594 0.650
0.684 0.367 0.895
0.499 0.997 0.798
0.940 0.880 0.476
0.060 0.120 0.976
0.666 0.332 0.515
0.777 0.554 0.560
0.223 0.446 0.060
0.872 0.745 0.191
0.128 0.255 0.691
0.859 0.719 0.828
0.141 0.281 0.328
0.575 0.151 0.911
0.425 0.849 0.411
```

Results
- Formation energy without anion corrections: -135.7 kJ/mol of atoms

Below is crystalline CsLi2Cu2Cl6 at its relaxed geometry, with properties calculated at the PBE level.

```
CsLi2Cu2Cl6
1.0
7.959 0.317 0.599
4.280 8.440 0.937
0.217 -4.344 4.884
Cu Li Cl Cs
2 2 6 1
Direct
0.216 0.708 0.774
0.784 0.292 0.226
0.735 0.362 0.831
0.265 0.638 0.169
0.537 0.311 0.058
0.463 0.689 0.942
0.848 0.123 0.380
0.123 0.553 0.855
0.152 0.877 0.620
0.877 0.447 0.145
0.500 0.000 0.500
```

Results
- Formation energy without anion corrections: -117.9 kJ/mol of atoms

Below is crystalline Cs2MgCuCl6 at its relaxed geometry, with properties calculated at the PBE level.

```
Cs2MgCuCl6
1.0
-3.293 -0.786 -6.460
-4.243 -5.799 -1.249
-11.981 3.852 1.521
Cs Cl Mg Cu
4 12 2 2
Direct
0.875 0.875 0.375
0.292 0.292 0.125
0.125 0.125 0.625
0.708 0.708 0.875
0.795 0.795 0.122
0.205 0.711 0.878
0.711 0.205 0.878
0.389 0.389 0.375
0.846 0.389 0.375
0.205 0.205 0.878
0.611 0.154 0.625
0.795 0.289 0.122
0.611 0.611 0.625
0.389 0.846 0.375
0.154 0.611 0.625
0.289 0.795 0.122
0.412 0.412 0.765
0.588 0.588 0.235
0.500 0.500 0.500
0.000 0.000 0.000
```

Results
- Formation energy without anion corrections: -144.4 kJ/mol of atoms

Below is crystalline CsMgCu2Cl8 at its relaxed geometry, with properties calculated at the PBE level.

```
CsMgCu2Cl8
1.0
-1.445 4.318 -4.526
-4.520 -4.007 2.173
-2.320 6.256 6.710
Cu Cl Cs Mg
2 8 1 1
Direct
0.333 0.667 0.714
0.667 0.333 0.286
0.685 0.002 0.342
0.683 0.685 0.658
0.333 0.667 0.948
0.315 0.998 0.658
0.667 0.333 0.052
0.317 0.315 0.342
0.002 0.317 0.658
0.998 0.683 0.342
0.000 0.000 0.000
0.000 0.000 0.500
```

Results
- Formation energy without anion corrections: -93.1 kJ/mol of atoms